Entry 1:
! Ag5Pd3Cl12 | Alexandria | PBE | optimized geometry; values from VASP
&SYSTEM
  ibrav = 0, nat = 80, ntyp = 3
/
ATOMIC_SPECIES
Pd 106.42 Pd.upf
Ag 107.87 Ag.upf
Cl 35.45 Cl.upf
ATOMIC_POSITIONS crystal
Pd 0.750 0.375 0.125
Pd 0.875 0.750 0.125
Pd 0.375 0.750 0.625
Pd 0.250 0.125 0.375
Pd 0.875 0.125 0.250
Pd 0.375 0.625 0.250
Pd 0.625 0.375 0.750
Pd 0.125 0.875 0.750
Pd 0.750 0.875 0.625
Pd 0.625 0.250 0.375
Pd 0.125 0.250 0.875
Pd 0.250 0.625 0.875
Ag 0.125 0.375 0.250
Ag 0.000 0.500 0.000
Ag 0.000 0.000 0.000
Ag 0.375 0.250 0.125
Ag 0.500 0.000 0.500
Ag 0.500 0.500 0.000
Ag 0.125 0.750 0.375
Ag 0.750 0.125 0.875
Ag 0.750 0.625 0.375
Ag 0.375 0.125 0.750
Ag 0.625 0.875 0.250
Ag 0.500 0.500 0.500
Ag 0.500 0.000 0.000
Ag 0.000 0.000 0.500
Ag 0.250 0.375 0.625
Ag 0.250 0.875 0.125
Ag 0.000 0.500 0.500
Ag 0.875 0.250 0.625
Ag 0.625 0.750 0.875
Ag 0.875 0.625 0.750
Cl 0.700 0.173 0.045
Cl 0.345 0.545 0.372
Cl 0.955 0.327 0.300
Cl 0.545 0.200 0.173
Cl 0.527 0.700 0.655
Cl 0.955 0.628 0.155
Cl 0.345 0.800 0.473
Cl 0.128 0.973 0.173
Cl 0.628 0.955 0.655
Cl 0.700 0.527 0.155
Cl 0.800 0.455 0.327
Cl 0.845 0.872 0.045
Cl 0.173 0.700 0.545
Cl 0.327 0.372 0.027
Cl 0.027 0.872 0.327
Cl 0.473 0.173 0.628
Cl 0.027 0.155 0.200
Cl 0.455 0.655 0.128
Cl 0.845 0.973 0.300
Cl 0.173 0.473 0.128
Cl 0.327 0.955 0.800
Cl 0.628 0.673 0.473
Cl 0.872 0.845 0.545
Cl 0.800 0.345 0.973
Cl 0.372 0.327 0.527
Cl 0.128 0.155 0.455
Cl 0.200 0.655 0.027
Cl 0.155 0.027 0.700
Cl 0.673 0.045 0.200
Cl 0.827 0.527 0.872
Cl 0.545 0.345 0.872
Cl 0.527 0.827 0.372
Cl 0.973 0.845 0.800
Cl 0.973 0.128 0.673
Cl 0.827 0.300 0.455
Cl 0.155 0.128 0.955
Cl 0.673 0.628 0.973
Cl 0.372 0.045 0.345
Cl 0.300 0.473 0.845
Cl 0.200 0.545 0.673
Cl 0.872 0.027 0.827
Cl 0.655 0.200 0.527
Cl 0.455 0.800 0.827
Cl 0.045 0.372 0.845
Cl 0.473 0.300 0.345
Cl 0.045 0.673 0.700
Cl 0.655 0.455 0.628
Cl 0.300 0.827 0.955
CELL_PARAMETERS angstrom
-4.594 10.339 -8.263
-8.642 -1.429 10.935
12.876 3.064 4.593
! N(E_F)   1.017 states/eV/atom
! Uncorrected formation energy   -0.2294 eV/atom
! Raw total energy   -2.83 eV per atom

***

Entry 2:
! InAgRh2 | Alexandria | PBE | optimized geometry; values from VASP
&SYSTEM
  ibrav = 0, nat = 4, ntyp = 3
/
ATOMIC_SPECIES
In 114.82 In.upf
Ag 107.87 Ag.upf
Rh 102.91 Rh.upf
ATOMIC_POSITIONS crystal
In 0.500 0.500 0.000
Ag 0.000 0.000 0.500
Rh 0.245 0.245 0.748
Rh 0.755 0.755 0.252
CELL_PARAMETERS angstrom
1.479 4.621 -0.004
-1.479 4.621 -0.004
0.000 1.084 4.824
! Energy of formation from the pure elements   -0.01 eV/atom
! N(E_F)   0.516 states/eV/atom
! Raw total energy   -5.08 eV per atom

***

Entry 3:
! NdEr2SiN4 | Alexandria | PBE | optimized geometry; values from VASP
&SYSTEM
  ibrav = 0, nat = 16, ntyp = 4
/
ATOMIC_SPECIES
Nd 144.24 Nd.upf
Er 167.26 Er.upf
Si 28.09 Si.upf
N 14.01 N.upf
ATOMIC_POSITIONS crystal
Nd 0.087 0.173 0.750
Nd 0.913 0.827 0.250
Er 0.369 0.737 0.541
Er 0.631 0.263 0.041
Er 0.631 0.263 0.459
Er 0.369 0.737 0.959
Si 0.823 0.646 0.750
Si 0.177 0.354 0.250
N 0.264 0.528 0.127
N 0.736 0.472 0.627
N 0.736 0.472 0.873
N 0.264 0.528 0.373
N 0.000 0.000 0.500
N 0.000 0.000 0.000
N 0.405 0.809 0.750
N 0.595 0.191 0.250
CELL_PARAMETERS angstrom
-0.468 2.622 -2.048
-5.476 -2.088 1.335
-0.456 6.977 9.039
! N(E_F)   0.175 states/eV/atom
! Uncorrected formation energy   -1.3849 eV/atom
! Raw total energy   -7.96 eV per atom

***

Entry 4:
! PmPrInGa | Alexandria | PBE | optimized geometry; values from VASP
&SYSTEM
  ibrav = 0, nat = 4, ntyp = 4
/
ATOMIC_SPECIES
Pr 140.91 Pr.upf
In 114.82 In.upf
Ga 69.72 Ga.upf
Pm 145.00 Pm.upf
ATOMIC_POSITIONS crystal
Pr 0.500 0.500 0.500
In 0.750 0.750 0.750
Ga 0.250 0.250 0.250
Pm 0.000 0.000 0.000
CELL_PARAMETERS angstrom
5.364 0.000 0.000
2.682 4.645 0.000
2.682 1.548 4.379
! Energy of formation from the pure elements   -0.50 eV/atom
! N(E_F)   0.383 states/eV/atom
! ΔE to the lowest computed polymorph   21 meV/atom
! Raw total energy   -4.32 eV per atom

***

Entry 5:
! CaZrCd2 | Alexandria | PBE | optimized geometry; values from VASP
&SYSTEM
  ibrav = 0, nat = 4, ntyp = 3
/
ATOMIC_SPECIES
Ca 40.08 Ca.upf
Zr 91.22 Zr.upf
Cd 112.41 Cd.upf
ATOMIC_POSITIONS crystal
Ca 0.500 0.500 0.760
Zr 0.000 0.000 0.467
Cd 0.000 0.000 0.024
Cd 0.500 0.500 0.248
CELL_PARAMETERS angstrom
-3.093 0.952 -0.705
-0.936 -3.172 -0.179
-2.009 0.089 8.933
! Energy of formation from the pure elements   0.00 eV/atom
! N(E_F)   0.968 states/eV/atom
! Raw total energy   -3.10 eV per atom

***

Entry 6:
! TcTeBr | Alexandria | PBE | optimized geometry; values from VASP
&SYSTEM
  ibrav = 0, nat = 6, ntyp = 3
/
ATOMIC_SPECIES
Tc 98.00 Tc.upf
Te 127.60 Te.upf
Br 79.90 Br.upf
ATOMIC_POSITIONS crystal
Tc 0.250 0.001 0.425
Tc 0.750 0.501 0.575
Te 0.750 0.000 0.630
Te 0.250 0.500 0.370
Br 0.250 0.000 0.166
Br 0.750 0.500 0.834
CELL_PARAMETERS angstrom
3.370 -1.363 0.000
-1.654 5.638 0.000
0.000 0.000 9.714
! N(E_F)   0.929 states/eV/atom
! Uncorrected formation energy   -0.0734 eV/atom
! ΔE to the lowest computed polymorph   0 meV/atom
! Raw total energy   -5.13 eV per atom

***

Entry 7:
! FeNiMo | Alexandria | PBE | optimized geometry; values from VASP
&SYSTEM
  ibrav = 0, nat = 12, ntyp = 3
/
ATOMIC_SPECIES
Ni 58.69 Ni.upf
Mo 95.94 Mo.upf
Fe 55.84 Fe.upf
ATOMIC_POSITIONS crystal
Ni 0.147 0.000 0.492
Ni 0.147 0.500 0.992
Ni 0.983 0.000 0.161
Ni 0.983 0.500 0.661
Mo 0.828 0.000 0.834
Mo 0.828 0.500 0.334
Mo 0.462 0.000 0.149
Mo 0.462 0.500 0.649
Fe 0.650 0.000 0.494
Fe 0.650 0.500 0.994
Fe 0.315 0.000 0.823
Fe 0.315 0.500 0.323
CELL_PARAMETERS angstrom
5.228 0.000 -0.030
0.000 3.676 0.000
-2.165 0.000 7.805
! Energy of formation from the pure elements   0.07 eV/atom
! N(E_F)   1.062 states/eV/atom
! ΔE to the lowest computed polymorph   46 meV/atom
! Raw total energy   -8.28 eV per atom

***

Entry 8:
! Li5SbSe4 | Alexandria | PBE | optimized geometry; values from VASP
&SYSTEM
  ibrav = 0, nat = 20, ntyp = 3
/
ATOMIC_SPECIES
Li 6.94 Li.upf
Sb 121.76 Sb.upf
Se 78.96 Se.upf
ATOMIC_POSITIONS crystal
Li 0.752 0.218 0.221
Li 0.752 0.218 0.779
Li 0.222 0.000 0.500
Li 0.752 0.782 0.221
Li 0.752 0.782 0.779
Li 0.248 0.718 0.279
Li 0.248 0.718 0.721
Li 0.778 0.500 0.000
Li 0.248 0.282 0.721
Li 0.248 0.282 0.279
Sb 0.164 0.000 0.000
Sb 0.836 0.500 0.500
Se 0.047 0.292 0.000
Se 0.468 0.000 0.239
Se 0.468 0.000 0.761
Se 0.047 0.708 0.000
Se 0.953 0.792 0.500
Se 0.532 0.500 0.261
Se 0.532 0.500 0.739
Se 0.953 0.208 0.500
CELL_PARAMETERS angstrom
5.840 0.000 0.000
0.000 9.548 0.000
0.000 0.000 8.155
! Uncorrected formation energy   -0.9307 eV/atom
! Raw total energy   -3.69 eV per atom

***

Entry 9:
! NiAg2As | Alexandria | PBE | optimized geometry; values from VASP
&SYSTEM
  ibrav = 0, nat = 4, ntyp = 3
/
ATOMIC_SPECIES
Ag 107.87 Ag.upf
As 74.92 As.upf
Ni 58.69 Ni.upf
ATOMIC_POSITIONS crystal
Ag 0.000 0.000 0.000
Ag 0.250 0.750 0.500
As 0.500 0.500 0.000
Ni 0.750 0.250 0.500
CELL_PARAMETERS angstrom
4.829 0.034 0.000
1.342 4.638 0.000
-3.085 -2.336 2.888
! Energy of formation from the pure elements   0.20 eV/atom
! N(E_F)   0.442 states/eV/atom
! Raw total energy   -3.83 eV per atom

***

Entry 10:
! Ni3Pt7W | Alexandria | PBE | optimized geometry; values from VASP
&SYSTEM
  ibrav = 0, nat = 11, ntyp = 3
/
ATOMIC_SPECIES
Ni 58.69 Ni.upf
Pt 195.08 Pt.upf
W 183.84 W.upf
ATOMIC_POSITIONS crystal
Ni 0.000 0.769 0.231
Ni 0.500 0.000 0.000
Ni 0.000 0.231 0.769
Pt 0.235 0.172 0.172
Pt 0.333 0.072 0.590
Pt 0.667 0.410 0.928
Pt 0.333 0.590 0.072
Pt 0.000 0.500 0.500
Pt 0.667 0.928 0.410
Pt 0.765 0.828 0.828
W 0.500 0.500 0.500
CELL_PARAMETERS angstrom
-2.323 2.305 -3.506
1.013 -6.347 -1.355
-3.965 -1.852 4.898
! Energy of formation from the pure elements   0.17 eV/atom
! N(E_F)   1.133 states/eV/atom
! Raw total energy   -6.43 eV per atom

***

Entry 11:
! MnV2B4 | Alexandria | PBE | optimized geometry; values from VASP
&SYSTEM
  ibrav = 0, nat = 7, ntyp = 3
/
ATOMIC_SPECIES
B 10.81 B.upf
Mn 54.94 Mn.upf
V 50.94 V.upf
ATOMIC_POSITIONS crystal
B 0.184 0.184 0.631
B 0.816 0.816 0.369
B 0.000 0.500 0.000
B 0.500 0.000 0.000
Mn 0.000 0.000 0.000
V 0.378 0.378 0.245
V 0.622 0.622 0.755
CELL_PARAMETERS angstrom
3.694 0.000 0.000
0.000 3.694 0.000
1.847 1.847 5.281
! Energy of formation from the pure elements   0.42 eV/atom
! N(E_F)   0.421 states/eV/atom
! Raw total energy   -7.31 eV per atom

***

Entry 12:
! Tb6PtAu5 | Alexandria | PBE | optimized geometry; values from VASP
&SYSTEM
  ibrav = 0, nat = 12, ntyp = 3
/
ATOMIC_SPECIES
Au 196.97 Au.upf
Tb 158.93 Tb.upf
Pt 195.08 Pt.upf
ATOMIC_POSITIONS crystal
Au 0.500 0.174 0.826
Au 0.000 0.335 0.665
Au 0.500 0.500 0.500
Au 0.000 0.665 0.335
Au 0.500 0.826 0.174
Tb 0.246 0.083 0.409
Tb 0.754 0.591 0.917
Tb 0.743 0.242 0.242
Tb 0.257 0.758 0.758
Tb 0.246 0.409 0.083
Tb 0.754 0.917 0.591
Pt 0.000 0.000 0.000
CELL_PARAMETERS angstrom
4.872 -0.003 -1.364
-3.643 7.133 -3.652
-0.175 -0.987 8.745
! Energy of formation from the pure elements   -0.91 eV/atom
! N(E_F)   0.647 states/eV/atom
! Raw total energy   -5.09 eV per atom

***

Entry 13:
! Rb3USn2Se6 | Alexandria | PBE | optimized geometry; values from VASP
&SYSTEM
  ibrav = 0, nat = 12, ntyp = 4
/
ATOMIC_SPECIES
Rb 85.47 Rb.upf
U 238.03 U.upf
Sn 118.71 Sn.upf
Se 78.96 Se.upf
ATOMIC_POSITIONS crystal
Rb 0.174 0.826 0.500
Rb 0.826 0.174 0.500
Rb 0.500 0.500 0.500
U 0.000 0.000 0.000
Sn 0.334 0.666 0.000
Sn 0.666 0.334 0.000
Se 0.936 0.627 0.806
Se 0.758 0.758 0.196
Se 0.064 0.373 0.194
Se 0.627 0.936 0.806
Se 0.242 0.242 0.804
Se 0.373 0.064 0.194
CELL_PARAMETERS angstrom
-1.832 -4.750 5.646
6.029 4.579 0.698
-5.949 5.570 1.051
! N(E_F)   0.039 states/eV/atom
! Uncorrected formation energy   -1.0056 eV/atom
! Raw total energy   -4.60 eV per atom

***

Entry 14:
! LaBeNi3 | Alexandria | PBE | optimized geometry; values from VASP
&SYSTEM
  ibrav = 0, nat = 5, ntyp = 3
/
ATOMIC_SPECIES
Ni 58.69 Ni.upf
Be 9.01 Be.upf
La 138.91 La.upf
ATOMIC_POSITIONS crystal
Ni 0.000 0.500 0.000
Ni 0.000 0.000 0.500
Ni 0.500 0.000 0.000
Be 0.000 0.000 0.000
La 0.500 0.500 0.500
CELL_PARAMETERS angstrom
-3.307 -1.422 -2.174
1.998 -3.641 -0.658
-1.660 -1.550 3.539
! Energy of formation from the pure elements   -0.17 eV/atom
! N(E_F)   1.678 states/eV/atom
! ΔE to the lowest computed polymorph   0 meV/atom
! Raw total energy   -5.37 eV per atom

***

Entry 15:
! Fe2SbSe | Alexandria | PBE | optimized geometry; values from VASP
&SYSTEM
  ibrav = 0, nat = 4, ntyp = 3
/
ATOMIC_SPECIES
Fe 55.84 Fe.upf
Sb 121.76 Sb.upf
Se 78.96 Se.upf
ATOMIC_POSITIONS crystal
Fe 0.000 0.000 0.963
Fe 0.000 0.000 0.537
Sb 0.500 0.500 0.250
Se 0.500 0.500 0.750
CELL_PARAMETERS angstrom
3.156 0.000 0.000
0.000 3.155 0.000
0.000 0.000 6.436
! N(E_F)   1.044 states/eV/atom
! Uncorrected formation energy   0.2986 eV/atom
! ΔE to the lowest computed polymorph   334 meV/atom
! Raw total energy   -5.83 eV per atom

***

Entry 16:
! YSc3Bi3 | Alexandria | PBE | optimized geometry; values from VASP
&SYSTEM
  ibrav = 0, nat = 14, ntyp = 3
/
ATOMIC_SPECIES
Y 88.91 Y.upf
Sc 44.96 Sc.upf
Bi 208.98 Bi.upf
ATOMIC_POSITIONS crystal
Y 0.335 0.335 0.995
Y 0.665 0.665 0.005
Sc 0.182 0.665 0.228
Sc 0.924 0.182 0.228
Sc 0.665 0.924 0.228
Sc 0.335 0.076 0.772
Sc 0.076 0.818 0.772
Sc 0.818 0.335 0.772
Bi 0.476 0.706 0.731
Bi 0.706 0.087 0.731
Bi 0.087 0.476 0.731
Bi 0.913 0.524 0.269
Bi 0.294 0.913 0.269
Bi 0.524 0.294 0.269
CELL_PARAMETERS angstrom
8.775 0.000 0.000
4.387 7.599 0.000
4.387 2.533 6.062
! Energy of formation from the pure elements   -0.55 eV/atom
! N(E_F)   0.875 states/eV/atom
! Raw total energy   -5.85 eV per atom

***

Entry 17:
! BC2 | Alexandria | PBE | optimized geometry; values from VASP
&SYSTEM
  ibrav = 0, nat = 12, ntyp = 2
/
ATOMIC_SPECIES
B 10.81 B.upf
C 12.01 C.upf
ATOMIC_POSITIONS crystal
B 0.112 0.784 0.138
B 0.554 0.499 0.486
B 0.154 0.543 0.639
B 0.597 0.258 0.987
C 0.157 0.835 0.504
C 0.354 0.382 0.129
C 0.355 0.660 0.996
C 0.824 0.151 0.497
C 0.714 0.033 0.131
C 0.552 0.207 0.621
C 0.994 0.009 0.994
C 0.884 0.891 0.628
CELL_PARAMETERS angstrom
-2.527 -1.233 3.719
-1.118 -1.620 -4.188
3.666 -2.377 0.961
! Energy of formation from the pure elements   0.33 eV/atom
! N(E_F)   0.042 states/eV/atom
! ΔE to the lowest computed polymorph   94 meV/atom
! Raw total energy   -8.04 eV per atom

***

Entry 18:
! YSb2H2 | Alexandria | PBE | optimized geometry; values from VASP
&SYSTEM
  ibrav = 0, nat = 5, ntyp = 3
/
ATOMIC_SPECIES
Y 88.91 Y.upf
Sb 121.76 Sb.upf
H 1.01 H.upf
ATOMIC_POSITIONS crystal
Y 0.000 0.000 0.000
Sb 0.344 0.344 0.311
Sb 0.656 0.656 0.689
H 0.750 0.250 0.500
H 0.250 0.750 0.500
CELL_PARAMETERS angstrom
4.189 0.000 0.000
0.000 4.189 0.000
2.094 2.094 4.990
! N(E_F)   0.508 states/eV/atom
! ΔE to the lowest computed polymorph   260 meV/atom
! Raw total energy   -4.09 eV per atom

***

Entry 19:
! K2HgMo | Alexandria | PBE | optimized geometry; values from VASP
&SYSTEM
  ibrav = 0, nat = 4, ntyp = 3
/
ATOMIC_SPECIES
Hg 200.59 Hg.upf
K 39.10 K.upf
Mo 95.94 Mo.upf
ATOMIC_POSITIONS crystal
Hg 0.500 0.500 0.000
K 0.000 0.000 0.000
K 0.500 0.000 0.500
Mo 0.000 0.500 0.500
CELL_PARAMETERS angstrom
-4.376 4.844 3.587
-1.250 -6.072 0.989
0.334 0.561 3.741
! Energy of formation from the pure elements   1.01 eV/atom
! N(E_F)   0.690 states/eV/atom
! Raw total energy   -2.32 eV per atom

***

Entry 20:
! Sc2TlHW | Alexandria | PBE | optimized geometry; values from VASP
&SYSTEM
  ibrav = 0, nat = 5, ntyp = 4
/
ATOMIC_SPECIES
Sc 44.96 Sc.upf
H 1.01 H.upf
Tl 204.38 Tl.upf
W 183.84 W.upf
ATOMIC_POSITIONS crystal
Sc 0.000 0.000 0.500
Sc 0.500 0.000 0.000
H 0.000 0.500 0.000
Tl 0.500 0.500 0.500
W 0.000 0.000 0.000
CELL_PARAMETERS angstrom
-2.834 -3.987 -2.232
2.837 -1.946 -0.126
-1.115 -1.943 4.887
! N(E_F)   1.100 states/eV/atom
! Raw total energy   -5.71 eV per atom

***

Entry 21:
! KHoO3 | Alexandria | PBE | optimized geometry; values from VASP
&SYSTEM
  ibrav = 0, nat = 5, ntyp = 3
/
ATOMIC_SPECIES
K 39.10 K.upf
Ho 164.93 Ho.upf
O 16.00 O.upf
ATOMIC_POSITIONS crystal
K 0.000 0.000 0.000
Ho 0.500 0.500 0.500
O 0.500 0.500 0.000
O 0.500 0.000 0.500
O 0.000 0.500 0.500
CELL_PARAMETERS angstrom
4.457 0.000 0.000
0.000 4.457 0.000
0.000 0.000 4.457
! N(E_F)   1.031 states/eV/atom
! Uncorrected formation energy   -1.8973 eV/atom
! Raw total energy   -6.01 eV per atom